The following is a GGA+U calculation of crystalline PbWAuO2 at its relaxed geometry, from Alexandria via LeMat-Bulk.

a = 3.9323 Å, b = 6.3312 Å, c = 3.9323 Å
α = 90.00°, β = 90.00°, γ = 90.00°
Closest atoms and distances in Å follow each position.
Element x y z (fractional)
Pb 0.0000 0.5000 0.0000  4 Au 2.78
Au 0.5000 0.5000 0.5000  4 Pb 2.78
O 0.0000 0.0000 0.5000  2 W 1.97
O 0.5000 0.0000 0.0000  2 W 1.97
W 0.0000 0.0000 0.0000  4 O 1.97

DFT total energy   -28.0 eV for the cell shown
Space-group type   P4/mmm (123)